Record 1
The following is a DFT calculation (PBE) of a geometry-optimized CaUSb structure.

The structure belongs to space group C2/m (No. 12); the cell edges are 17.390, 3.930 and 4.733 Å and the angles 90.00°, 92.93° and 90.00°. The asymmetric unit holds Ca at (0.072, 0.000, 0.261), U at (0.242, 0.500, 0.323) and Sb at (0.112, 0.500, 0.775).

The value obtained for the size of the total moment is 7.56 Bohr magnetons per cell. Its uncorrected formation energy is -0.40 eV per atom. As for the final energy: -6.21 eV per atom. The value obtained for the volume is 323.1 Å³ per cell.

=====

Record 2
The following is a DFT calculation (PBE) of a geometry-optimized Ba2TeRhS structure.

The structure belongs to space group P4/mmm (No. 123); the cell edges are 6.177, 6.177 and 4.365 Å and the angles 90.00°, 90.00° and 90.00°. The asymmetric unit holds Ba at (0.000, 0.500, 0.000), Te at (0.000, 0.000, 0.500), Rh at (0.500, 0.500, 0.500) and S at (0.500, 0.500, 0.000).

The value obtained for the size of the total moment is 0.00 Bohr magnetons per cell. Its uncorrected formation energy is -1.17 eV per atom. As for the final energy: -4.87 eV per atom. The value obtained for the volume is 166.5 Å³ per cell.

=====

Record 3
The following is a DFT calculation (PBE) of a geometry-optimized ReAg2Ru structure.

The structure belongs to space group F-43m (No. 216); the cell edges are 6.342, 6.342 and 6.342 Å and the angles 90.00°, 90.00° and 90.00°. The asymmetric unit holds Re at (0.000, 0.000, 0.000), Ag at (0.000, 0.000, 0.500), Ag at (0.250, 0.250, 0.750) and Ru at (0.250, 0.250, 0.250).

As for the formation energy: 767 meV per atom. The value obtained for the size of the total moment is 1.15 Bohr magnetons per cell. As for the final energy: -6.09 eV per atom. The value obtained for the volume is 255.1 Å³ per cell.

=====

Record 4
The following is a DFT calculation (PBE) of a geometry-optimized PrCd2Pb structure.

The structure belongs to space group P4/mmm (No. 123); the cell edges are 4.654, 4.654 and 4.951 Å and the angles 90.00°, 90.00° and 90.00°. The asymmetric unit holds Pr at (0.000, 0.000, 0.000), Cd at (0.000, 0.500, 0.500) and Pb at (0.500, 0.500, 0.000).

As for the formation energy: -376 meV per atom. The value obtained for the size of the total moment is 0.00 Bohr magnetons per cell. As for the final energy: -2.96 eV per atom. The value obtained for the volume is 107.3 Å³ per cell.

=====

> Number 2 is which compound?

Ba2TeRhS

=====

Copy entry 2 word for word.
The following is a DFT calculation (PBE) of a geometry-optimized Ba2TeRhS structure.

The structure belongs to space group P4/mmm (No. 123); the cell edges are 6.177, 6.177 and 4.365 Å and the angles 90.00°, 90.00° and 90.00°. The asymmetric unit holds Ba at (0.000, 0.500, 0.000), Te at (0.000, 0.000, 0.500), Rh at (0.500, 0.500, 0.500) and S at (0.500, 0.500, 0.000).

The value obtained for the size of the total moment is 0.00 Bohr magnetons per cell. Its uncorrected formation energy is -1.17 eV per atom. As for the final energy: -4.87 eV per atom. The value obtained for the volume is 166.5 Å³ per cell.

=====

> What is the formula in the second record?

Ba2TeRhS